ZrWI2O | PBE+U | relaxed

```
data_ZrWI2O
_symmetry_space_group_name_H-M 'P 1'
_symmetry_Int_Tables_number 1
_symmetry_space_group_name_Hall 'P 1'
_cell_length_a 5.9651
_cell_length_b 5.9651
_cell_length_c 3.8463
_cell_angle_alpha 90.00
_cell_angle_beta 90.00
_cell_angle_gamma 90.00
loop_
_atom_site_label
_atom_site_fract_x
_atom_site_fract_y
_atom_site_fract_z
Zr1 0.0000 0.0000 0.0000
W1 0.5000 0.5000 0.5000
I1 0.0000 0.5000 0.5000
I2 0.5000 0.0000 0.5000
O1 0.5000 0.5000 0.0000
```

Calculated values
- magnetic moment (μB/atom) = 1.046
- volume (Å³/cell) = 137
- VASP energy (eV for the cell shown) = -23.7
- SG = P4/mmm, No. 123